First-principles (SCAN) data for a PBEsol-optimized structure of LiReCl2, as listed in the Alexandria database.

Cell and atoms, written as extended XYZ:
```
4
Lattice="3.139 -3.690 0.000 3.139 3.690 0.000 0.000 0.000 2.875" Properties=species:S:1:pos:R:3 pbc="T T T"
Li 0.000 0.000 0.000
Re 3.139 0.000 0.000
Cl 1.570 1.845 0.000
Cl 1.570 -1.845 0.000
```

Values from the calculation:
formation energy (no corrections): 0.26 eV/f.u.
density of states at the Fermi level: 0.539 states/eV per atom
total DFT energy (no corrections): -22.29 eV/atom
magnetization: 0.00 μB/cell
relative energy among the computed polymorphs: 91.2 meV/atom
space-group type: Cmmm